An optimized crystal structure of Pm2Cu5Ni. Source: Alexandria via LeMat-Bulk, functional GGA-PBE.

Cell lengths 4.0797, 7.9529, 8.8672 Å; angles 90.00, 90.00, 104.86 degrees
Closest atoms and distances in Å follow each position.
Element x y z (fractional)
Pm  0.0000  0.0000  0.0000  6 Cu 2.99-3.10, 4 Ni 3.15
Cu  0.3487  0.6974  0.9796  4 Cu 2.41-2.68, 1 Ni 2.47
Cu  0.8169  0.6337  0.3864  6 Cu 2.41-2.69
Ni  0.5602  0.1204  0.2500  3 Cu 2.46-2.47
Pm  0.1971  0.3943  0.2500  2 Ni 2.93, 11 Cu 2.97-3.23
Cu  0.6513  0.3026  0.0204  4 Cu 2.41-2.68, 1 Ni 2.47
Cu  0.6513  0.3026  0.4796  4 Cu 2.41-2.68, 1 Ni 2.47
Ni  0.4398  0.8796  0.7500  3 Cu 2.46-2.47
Cu  0.4000  0.8000  0.2500  1 Ni 2.46, 6 Cu 2.52-2.69
Cu  0.3487  0.6974  0.5204  4 Cu 2.41-2.68, 1 Ni 2.47
Pm  0.0000  0.0000  0.5000  6 Cu 2.99-3.10, 4 Ni 3.15
Cu  0.8169  0.6337  0.1136  6 Cu 2.41-2.69
Pm  0.8029  0.6057  0.7500  2 Ni 2.93, 11 Cu 2.97-3.23
Cu  0.6000  0.2000  0.7500  1 Ni 2.46, 6 Cu 2.52-2.69
Cu  0.1831  0.3663  0.8864  6 Cu 2.41-2.69
Cu  0.1831  0.3663  0.6136  6 Cu 2.41-2.69

Results
Total magnetization ... 0.00 μB per cell
E_form ... -160 meV per atom



An optimized crystal structure of Ce2Ho3PuS6. Source: Alexandria via LeMat-Bulk, functional GGA-PBE.

Cell lengths 3.9225, 7.9395, 8.8471 Å; angles 103.68, 102.81, 90.00 degrees
Closest atoms and distances in Å follow each position.
Element x y z (fractional)
Ce  0.1668  0.3339  0.3336  6 S 2.84-2.85
S  0.6633  0.5914  0.3267  3 Ho 2.73-2.74, 3 Ce 2.84-2.85
Ho  0.5000  0.5000  0.0000  6 S 2.73-2.77
Ho  0.8334  0.1664  0.6668  6 S 2.74-2.77
S  0.9972  0.2527  0.9944  3 Ho 2.74-2.77, 2 Pu 2.81, 1 Ce 2.84
S  0.3319  0.9246  0.6639  3 Ho 2.74-2.77, 1 Pu 2.81, 2 Ce 2.84
Pu  0.5000  0.0000  0.0000  6 S 2.81
S  0.0028  0.7473  0.0056  3 Ho 2.74-2.77, 2 Pu 2.81, 1 Ce 2.84
S  0.3367  0.4086  0.6733  3 Ho 2.73-2.74, 3 Ce 2.84-2.85
S  0.6681  0.0754  0.3361  3 Ho 2.74-2.77, 1 Pu 2.81, 2 Ce 2.84
Ho  0.1666  0.8336  0.3332  6 S 2.74-2.77
Ce  0.8332  0.6661  0.6664  6 S 2.84-2.85

Results
Total magnetization ... 7.49 μB per cell
Formation energy from raw total energies ... -1984 meV per atom



An optimized crystal structure of La2SiAs. Source: Alexandria via LeMat-Bulk, functional GGA-PBE.

Cell lengths 4.2928, 4.2928, 7.8379 Å; angles 74.13, 74.13, 59.95 degrees
Closest atoms and distances in Å follow each position.
Element x y z (fractional)
As  0.2500  0.2500  0.2500  6 La 3.07
La  0.5024  0.5024  0.4931  3 As 3.07, 3 Si 3.13
Si  0.7500  0.7500  0.7500  6 La 3.13
La  0.9976  0.9976  0.0069  3 As 3.07, 3 Si 3.13

Results
Total magnetization ... 0.00 μB per cell
Formation energy from raw total energies ... -971 meV per atom



An optimized crystal structure of Nb3ReAs. Source: Alexandria via LeMat-Bulk, functional GGA-PBE.

Cell lengths 4.8651, 4.8651, 4.8651 Å; angles 90.00, 90.00, 90.00 degrees
Closest atoms and distances in Å follow each position.
Element x y z (fractional)
Nb  0.5000  0.0000  0.0000  2 Re 2.43
As  0.5000  0.5000  0.5000  12 Nb 3.44
Re  0.0000  0.0000  0.0000  6 Nb 2.43
Nb  0.0000  0.5000  0.0000  2 Re 2.43
Nb  0.0000  0.0000  0.5000  2 Re 2.43

Results
Total magnetization ... 0.00 μB per cell
E_form ... 1113 meV per atom



An optimized crystal structure of Pm2P3Pd3. Source: Alexandria via LeMat-Bulk, functional GGA-PBE.

Cell lengths 8.2687, 6.8921, 6.8921 Å; angles 60.00, 90.00, 90.00 degrees
Closest atoms and distances in Å follow each position.
Element x y z (fractional)
P  0.7500  0.3836  0.0000  3 Pd 2.35-2.40
Pd  0.7500  0.7316  0.0000  3 P 2.35-2.40
P  0.2500  0.3836  0.6164  3 Pd 2.35-2.40
Pd  0.7500  0.0000  0.2684  3 P 2.35-2.40
P  0.2500  0.0000  0.3836  3 Pd 2.35-2.40
P  0.7500  0.6164  0.3836  3 Pd 2.35-2.40
Pd  0.2500  0.7316  0.2684  3 P 2.35-2.40
P  0.7500  0.0000  0.6164  3 Pd 2.35-2.40
Pd  0.2500  0.2684  0.0000  3 P 2.35-2.40
Pd  0.2500  0.0000  0.7316  3 P 2.35-2.40
Pm  0.5000  0.3333  0.3333  6 P 2.98, 6 Pd 3.28
Pm  0.0000  0.3333  0.3333  6 P 2.98, 6 Pd 3.28
Pm  0.5000  0.6667  0.6667  6 P 2.98, 6 Pd 3.28
Pm  0.0000  0.6667  0.6667  6 P 2.98, 6 Pd 3.28
P  0.2500  0.6164  0.0000  3 Pd 2.35-2.40
Pd  0.7500  0.2684  0.7316  3 P 2.35-2.40

Results
Total magnetization ... 0.00 μB per cell
E_form ... -970 meV per atom



An optimized crystal structure of CsYNb6Br18. Source: Alexandria via LeMat-Bulk, functional GGA-PBE.

Cell lengths 9.9423, 9.9423, 18.4901 Å; angles 90.00, 90.00, 120.00 degrees
Closest atoms and distances in Å follow each position.
Element x y z (fractional)
Br  0.5852  0.8616  0.9992  2 Nb 2.61-2.62
Br  0.4475  0.0858  0.6618  1 Y 2.85, 1 Nb 2.98
Br  0.8153  0.0465  0.1598  2 Nb 2.60-2.62
Nb  0.9613  0.8121  0.9348  4 Br 2.60-2.62
Br  0.9535  0.1847  0.3402  2 Nb 2.60-2.62
Br  0.7688  0.9535  0.6598  2 Nb 2.60-2.62
Br  0.1847  0.9535  0.8402  2 Nb 2.60-2.62
Br  0.3618  0.9142  0.1618  1 Y 2.85, 1 Nb 2.98
Cs  0.6667  0.3333  0.2500  12 Br 4.07-4.16
Br  0.8616  0.5852  0.4992  2 Nb 2.61-2.62
Br  0.0858  0.6382  0.3382  1 Y 2.85, 1 Nb 2.98
Br  0.6382  0.0858  0.8382  1 Y 2.85, 1 Nb 2.98
Br  0.7236  0.1384  0.4992  2 Nb 2.61-2.62
Br  0.7236  0.5852  0.0008  2 Nb 2.61-2.62
Nb  0.9613  0.1492  0.5652  4 Br 2.60-2.62
Br  0.1384  0.7236  0.9992  2 Nb 2.61-2.62
Br  0.2312  0.0465  0.3402  2 Nb 2.60-2.62
Nb  0.8508  0.8121  0.5652  4 Br 2.60-2.62
Br  0.3618  0.4475  0.3382  1 Y 2.85, 1 Nb 2.98
Br  0.0465  0.2312  0.8402  2 Nb 2.60-2.62
Br  0.1384  0.4148  0.5008  2 Nb 2.61-2.62
Cs  0.3333  0.6667  0.7500  12 Br 4.07-4.16
Br  0.4475  0.3618  0.8382  1 Y 2.85, 1 Nb 2.98
Nb  0.8508  0.0387  0.9348  4 Br 2.60-2.62
Nb  0.1879  0.0387  0.5652  4 Br 2.60-2.62
Br  0.4148  0.2764  0.4992  2 Nb 2.61-2.62
Br  0.8153  0.7688  0.3402  2 Nb 2.60-2.62
Nb  0.1492  0.1879  0.4348  4 Br 2.60-2.62
Br  0.5525  0.6382  0.1618  1 Y 2.85, 1 Nb 2.98
Br  0.9142  0.5525  0.8382  1 Y 2.85, 1 Nb 2.98
Br  0.8616  0.2764  0.0008  2 Nb 2.61-2.62
Br  0.2312  0.1847  0.1598  2 Nb 2.60-2.62
Nb  0.0387  0.8508  0.4348  4 Br 2.60-2.62
Y  0.3333  0.6667  0.2500  6 Br 2.85
Br  0.7688  0.8153  0.8402  2 Nb 2.60-2.62
Br  0.5852  0.7236  0.5008  2 Nb 2.61-2.62
Br  0.2764  0.4148  0.9992  2 Nb 2.61-2.62
Nb  0.1879  0.1492  0.9348  4 Br 2.60-2.62
Br  0.6382  0.5525  0.6618  1 Y 2.85, 1 Nb 2.98
Br  0.5525  0.9142  0.3382  1 Y 2.85, 1 Nb 2.98
Nb  0.8121  0.8508  0.0652  4 Br 2.60-2.62
Br  0.9142  0.3618  0.6618  1 Y 2.85, 1 Nb 2.98
Nb  0.0387  0.1879  0.0652  4 Br 2.60-2.62
Nb  0.8121  0.9613  0.4348  4 Br 2.60-2.62
Nb  0.1492  0.9613  0.0652  4 Br 2.60-2.62
Br  0.1847  0.2312  0.6598  2 Nb 2.60-2.62
Br  0.0465  0.8153  0.6598  2 Nb 2.60-2.62
Br  0.4148  0.1384  0.0008  2 Nb 2.61-2.62
Y  0.6667  0.3333  0.7500  6 Br 2.85
Br  0.0858  0.4475  0.1618  1 Y 2.85, 1 Nb 2.98
Br  0.2764  0.8616  0.5008  2 Nb 2.61-2.62
Br  0.9535  0.7688  0.1598  2 Nb 2.60-2.62

Results
Total magnetization ... 0.00 μB per cell
Formation energy from raw total energies ... -1130 meV per atom



An optimized crystal structure of LaUInO6. Source: Alexandria via LeMat-Bulk, functional GGA-PBE.

Cell lengths 5.6204, 5.6204, 10.4194 Å; angles 90.00, 90.00, 120.00 degrees
Closest atoms and distances in Å follow each position.
Element x y z (fractional)
O  0.3605  0.3462  0.3609  1 U 2.10, 1 In 2.21
O  0.3462  0.3605  0.8609  1 U 2.10, 1 In 2.21
O  0.6395  0.6538  0.6391  1 U 2.10, 1 In 2.21
In  0.3333  0.6667  0.2500  6 O 2.21
La  0.0000  0.0000  0.5000  6 O 2.46
U  0.6667  0.3333  0.2500  6 O 2.10
O  0.0142  0.3605  0.6391  1 U 2.10, 1 In 2.21
O  0.9858  0.3462  0.1391  1 U 2.10, 1 In 2.21
U  0.3333  0.6667  0.7500  6 O 2.10
O  0.3605  0.0142  0.1391  1 U 2.10, 1 In 2.21
O  0.6395  0.9858  0.8609  1 U 2.10, 1 In 2.21
In  0.6667  0.3333  0.7500  6 O 2.21
O  0.9858  0.6395  0.3609  1 U 2.10, 1 In 2.21
La  0.0000  0.0000  0.0000  6 O 2.46
O  0.3462  0.9858  0.6391  1 U 2.10, 1 In 2.21
O  0.6538  0.6395  0.1391  1 U 2.10, 1 In 2.21
O  0.0142  0.6538  0.8609  1 U 2.10, 1 In 2.21
O  0.6538  0.0142  0.3609  1 U 2.10, 1 In 2.21

Results
Total magnetization ... 0.00 μB per cell
Formation energy from raw total energies ... -2784 meV per atom



An optimized crystal structure of Al2InGaS6. Source: Alexandria via LeMat-Bulk, functional GGA-PBE.

Cell lengths 6.6847, 9.0703, 9.0703 Å; angles 88.44, 71.22, 71.22 degrees
Closest atoms and distances in Å follow each position.
Element x y z (fractional)
S  0.9054  0.9991  0.1987  1 Ga 2.31, 1 Al 2.32, 1 In 2.58
S  0.5946  0.8013  0.0009  1 Ga 2.31, 1 Al 2.32, 1 In 2.58
Al  0.7707  0.6336  0.7738  4 S 2.21-2.33
S  0.4966  0.5821  0.7192  2 Al 2.21-2.23
S  0.0946  0.0009  0.8013  1 Ga 2.31, 1 Al 2.32, 1 In 2.58
S  0.5034  0.4179  0.2808  2 Al 2.21-2.23
S  0.4054  0.1987  0.9991  1 Ga 2.31, 1 Al 2.32, 1 In 2.58
S  0.5862  0.1284  0.6031  1 Ga 2.31, 1 Al 2.33, 1 In 2.50
Al  0.2707  0.7738  0.6336  4 S 2.21-2.33
Al  0.7293  0.2262  0.3664  4 S 2.21-2.33
S  0.9966  0.7192  0.5821  2 Al 2.21-2.23
Ga  0.7500  0.8062  0.1938  4 S 2.31
S  0.4138  0.8716  0.3969  1 Ga 2.31, 1 Al 2.33, 1 In 2.50
S  0.9138  0.3969  0.8716  1 Ga 2.31, 1 Al 2.33, 1 In 2.50
In  0.7500  0.2211  0.7789  4 S 2.50-2.58
In  0.2500  0.7789  0.2211  4 S 2.50-2.58
S  0.0034  0.2808  0.4179  2 Al 2.21-2.23
Al  0.2293  0.3664  0.2262  4 S 2.21-2.33
S  0.0862  0.6031  0.1284  1 Ga 2.31, 1 Al 2.33, 1 In 2.50
Ga  0.2500  0.1938  0.8062  4 S 2.31

Results
Total magnetization ... 0.00 μB per cell
Formation energy from raw total energies ... -749 meV per atom



An optimized crystal structure of LaU2Tl3Se6. Source: Alexandria via LeMat-Bulk, functional GGA-PBE.

Cell lengths 7.3908, 7.3908, 8.1827 Å; angles 98.66, 98.66, 119.98 degrees
Closest atoms and distances in Å follow each position.
Element x y z (fractional)
Se  0.2775  0.2775  0.7945  2 U 2.91, 1 La 3.02
Se  0.0698  0.4155  0.2084  2 U 2.91, 1 La 3.03
Tl  0.1646  0.8354  0.5000  6 Se 3.30-3.39
U  0.3329  0.6671  0.0000  6 Se 2.91
Se  0.9302  0.5845  0.7916  2 U 2.91, 1 La 3.03
Se  0.5845  0.9302  0.7916  2 U 2.91, 1 La 3.03
U  0.6671  0.3329  0.0000  6 Se 2.91
La  0.0000  0.0000  0.0000  6 Se 3.02-3.03
Se  0.4155  0.0698  0.2084  2 U 2.91, 1 La 3.03
Tl  0.8354  0.1646  0.5000  6 Se 3.30-3.39
Se  0.7225  0.7225  0.2055  2 U 2.91, 1 La 3.02
Tl  0.5000  0.5000  0.5000  6 Se 3.30-3.39

Results
Total magnetization ... 6.00 μB per cell
Formation energy from raw total energies ... -1058 meV per atom



An optimized crystal structure of MnHgTe2. Source: Alexandria via LeMat-Bulk, functional GGA-PBE.

Cell lengths 7.2762, 7.2762, 7.2762 Å; angles 34.01, 34.01, 34.01 degrees
Closest atoms and distances in Å follow each position.
Element x y z (fractional)
Te  0.2308  0.2308  0.2308  3 Hg 2.88
Te  0.0254  0.0254  0.0254  3 Mn 2.76
Mn  0.7530  0.7530  0.7530  3 Te 2.76, 3 Hg 2.86
Hg  0.4908  0.4908  0.4908  3 Mn 2.86, 3 Te 2.88

Results
Total magnetization ... 3.71 μB per cell
Formation energy from raw total energies ... 76 meV per atom



An optimized crystal structure of MgCo2Pb2. Source: Alexandria via LeMat-Bulk, functional GGA-PBE.

Cell lengths 5.1728, 5.1728, 5.2886 Å; angles 60.72, 60.72, 90.00 degrees
Closest atoms and distances in Å follow each position.
Element x y z (fractional)
Pb  0.7500  0.2500  0.5000  4 Co 2.71
Co  0.6450  0.6450  0.7101  1 Co 2.22
Mg  0.0000  0.0000  0.0000  2 Co 2.71
Co  0.3550  0.3550  0.2899  1 Co 2.22
Pb  0.2500  0.7500  0.5000  4 Co 2.71

Results
Total magnetization ... 2.06 μB per cell
E_form ... 438 meV per atom



An optimized crystal structure of Li2Y2ThIn2. Source: Alexandria via LeMat-Bulk, functional GGA-PBE.

Cell lengths 4.8790, 4.8790, 9.3424 Å; angles 74.86, 74.86, 60.00 degrees
Closest atoms and distances in Å follow each position.
Element x y z (fractional)
In  0.2618  0.2618  0.2146  3 Li 2.82
In  0.7382  0.7382  0.7854  3 Li 2.82
Th  0.0000  0.0000  0.0000  6 Li 3.40, 6 In 3.40, 2 Y 3.44
Y  0.1286  0.1286  0.6143  4 In 3.20-3.56, 3 Li 3.21, 1 Th 3.44, 3 Y 3.48
Li  0.4047  0.4047  0.7860  3 In 2.82
Y  0.8714  0.8714  0.3857  4 In 3.20-3.56, 3 Li 3.21, 1 Th 3.44, 3 Y 3.48
Li  0.5953  0.5953  0.2140  3 In 2.82

Results
Total magnetization ... 0.00 μB per cell
E_form ... -181 meV per atom